The following is a SCAN calculation of a crystal of HoHO2 relaxed with PBEsol, from Alexandria. Values from VASP.

The structure in Quantum ESPRESSO input format:
```
&SYSTEM
  ibrav = 0, nat = 8, ntyp = 3
/
ATOMIC_SPECIES
O 16.00 O.upf
H 1.01 H.upf
Ho 164.93 Ho.upf
CELL_PARAMETERS angstrom
3.5767 0.0000 0.0000
0.0000 4.2548 0.0439
0.0000 -1.9804 5.5364
ATOMIC_POSITIONS angstrom
O 0.8942 2.1688 3.0881
H 2.6825 -1.7741 5.0995
O 2.6825 0.1056 2.4922
Ho 2.6825 2.2222 1.7479
O 0.8942 3.0768 0.3720
Ho 0.8942 0.0523 3.8324
O 2.6825 -0.8023 5.2083
H 0.8942 4.0485 0.4808
```

Results
Space group: P2_1/m, No. 11
Final energy in eV per atom: -19.15